Record 1
Compound: TlFeGe2
Source: OQMD via LeMat-Bulk
Functional: PBE-GGA
Structure: relaxed Values from VASP.

Cell and atoms, written as Quantum ESPRESSO input:
```
&SYSTEM
  ibrav = 0, nat = 4, ntyp = 3
/
ATOMIC_SPECIES
Ge 72.64 Ge.upf
Tl 204.38 Tl.upf
Fe 55.84 Fe.upf
CELL_PARAMETERS angstrom
-1.395 -4.469 -0.209
0.856 -2.892 3.587
-3.526 -1.483 2.708
ATOMIC_POSITIONS crystal
Ge 0.750 0.750 0.750
Ge 0.000 0.000 0.000
Tl 0.500 0.500 0.500
Fe 0.250 0.250 0.250
```

## Properties
DFT total energy = -4.335 eV/atom
Crystal system = cubic
Total magnetization = 2.71 μB/cell

=====

Record 2
Compound: TbFe3
Source: OQMD via LeMat-Bulk
Functional: PBE-GGA
Structure: relaxed Values from VASP.

Cell and atoms, written as Quantum ESPRESSO input:
```
&SYSTEM
  ibrav = 0, nat = 8, ntyp = 2
/
ATOMIC_SPECIES
Tb 158.93 Tb.upf
Fe 55.84 Fe.upf
CELL_PARAMETERS angstrom
2.886 2.820 5.164
-3.368 0.899 5.549
1.133 -3.438 1.244
ATOMIC_POSITIONS crystal
Tb 0.667 0.667 0.750
Tb 0.333 0.333 0.250
Fe 0.213 0.000 0.000
Fe 0.787 0.000 0.500
Fe 0.213 0.787 0.500
Fe 0.787 0.213 0.000
Fe 0.000 0.213 0.500
Fe 0.000 0.787 0.000
```

## Properties
Formation energy from the elements = 0.4045 eV/atom
DFT total energy = -6.984 eV/atom
Crystal system = hexagonal
Total magnetization = 12.73 μB/cell

=====

Record 3
Compound: LaTbIn2
Source: OQMD via LeMat-Bulk
Functional: PBE-GGA
Structure: relaxed Values from VASP.

Cell and atoms, written as Quantum ESPRESSO input:
```
&SYSTEM
  ibrav = 0, nat = 4, ntyp = 3
/
ATOMIC_SPECIES
Tb 158.93 Tb.upf
In 114.82 In.upf
La 138.91 La.upf
CELL_PARAMETERS angstrom
3.843 0.000 0.000
0.000 3.843 0.000
0.000 0.000 7.759
ATOMIC_POSITIONS crystal
Tb 0.500 0.500 0.000
In 0.000 0.000 0.232
In 0.000 0.000 0.768
La 0.500 0.500 0.500
```

## Properties
DFT total energy = -4.259 eV/atom
Crystal system = tetragonal
Total magnetization = 0.00 μB/cell

=====

Record 4
Compound: Tb2BiClO4
Source: OQMD via LeMat-Bulk
Functional: PBE-GGA
Structure: relaxed Values from VASP.

Cell and atoms, written as Quantum ESPRESSO input:
```
&SYSTEM
  ibrav = 0, nat = 8, ntyp = 4
/
ATOMIC_SPECIES
O 16.00 O.upf
Bi 208.98 Bi.upf
Cl 35.45 Cl.upf
Tb 158.93 Tb.upf
CELL_PARAMETERS angstrom
-0.325 -3.107 -2.411
-1.545 -2.124 2.945
-8.218 2.695 -2.366
ATOMIC_POSITIONS crystal
O 0.500 0.000 0.165
O 0.000 0.500 0.165
O 0.000 0.500 0.835
O 0.500 0.000 0.835
Bi 0.500 0.500 0.000
Cl 0.500 0.500 0.500
Tb 0.000 0.000 0.732
Tb 0.000 0.000 0.268
```

## Properties
DFT total energy = -6.814 eV/atom
Crystal system = tetragonal
Total magnetization = 0.01 μB/cell

=====

Record 5
Compound: NdAl2
Source: OQMD via LeMat-Bulk
Functional: PBE-GGA
Structure: relaxed Values from VASP.

Cell and atoms, written as Quantum ESPRESSO input:
```
&SYSTEM
  ibrav = 0, nat = 6, ntyp = 2
/
ATOMIC_SPECIES
Nd 144.24 Nd.upf
Al 26.98 Al.upf
CELL_PARAMETERS angstrom
0.000 4.022 4.022
4.022 0.000 4.022
4.022 4.022 0.000
ATOMIC_POSITIONS crystal
Nd 0.000 0.000 0.000
Nd 0.250 0.250 0.250
Al 0.125 0.625 0.625
Al 0.625 0.625 0.625
Al 0.625 0.125 0.625
Al 0.625 0.625 0.125
```

## Properties
DFT total energy = -4.586 eV/atom
Crystal system = cubic
Total magnetization = 0.15 μB/cell

=====

Record 6
Compound: RbSmHgTe3
Source: OQMD via LeMat-Bulk
Functional: PBE-GGA
Structure: relaxed Values from VASP.

Cell and atoms, written as Quantum ESPRESSO input:
```
&SYSTEM
  ibrav = 0, nat = 24, ntyp = 4
/
ATOMIC_SPECIES
Te 127.60 Te.upf
Rb 85.47 Rb.upf
Hg 200.59 Hg.upf
Sm 150.36 Sm.upf
CELL_PARAMETERS angstrom
16.421 0.000 0.000
0.000 4.571 0.000
0.000 0.000 12.135
ATOMIC_POSITIONS crystal
Te 0.096 0.750 0.917
Te 0.596 0.750 0.583
Te 0.590 0.250 0.876
Te 0.854 0.750 0.764
Te 0.146 0.250 0.236
Te 0.646 0.250 0.264
Te 0.410 0.750 0.124
Te 0.904 0.250 0.083
Te 0.354 0.750 0.736
Te 0.910 0.750 0.376
Te 0.404 0.250 0.417
Te 0.090 0.250 0.624
Rb 0.767 0.250 0.546
Rb 0.233 0.750 0.454
Rb 0.267 0.250 0.954
Rb 0.733 0.750 0.046
Hg 0.981 0.750 0.607
Hg 0.481 0.750 0.893
Hg 0.519 0.250 0.107
Hg 0.019 0.250 0.393
Sm 0.975 0.250 0.848
Sm 0.525 0.750 0.348
Sm 0.025 0.750 0.152
Sm 0.475 0.250 0.652
```

## Properties
DFT total energy = -3.534 eV/atom
E above lowest polymorph = 0.12 eV/f.u.
Crystal system = orthorhombic
Total magnetization = 0.00 μB/cell